DFT (GGA-PBE) results for crystalline Hf2NiIr at its relaxed geometry.

Summary:
**Formation enthalpy at 0 K**: -0.381 eV/atom
**Calculated volume**: 16.14 A^3/atom
**Total magnetization**: 0.0 μB per formula unit

a = 4.503 Å, b = 4.503 Å, c = 4.503 Å
α = 60.00°, β = 60.00°, γ = 60.00°
Fractional positions:
Ni1 0.000 0.000 0.000
Hf1 0.750 0.750 0.750
Hf2 0.500 0.500 0.500
Ir1 0.250 0.250 0.250

---

DFT (GGA-PBE) results for crystalline HgPbSeO at its relaxed geometry.

Summary:
**Calculated volume**: 26.46 A^3/atom
**Total DFT energy (no corrections)**: -26.59 eV/cell

a = 5.221 Å, b = 5.221 Å, c = 7.767 Å
α = 90.00°, β = 90.00°, γ = 90.00°
Fractional positions:
Pb1 0.750 0.750 0.179
Pb2 0.250 0.250 0.821
Hg1 0.250 0.250 0.368
Hg2 0.750 0.750 0.632
O1 0.750 0.750 0.914
O2 0.250 0.250 0.086
Se1 0.250 0.750 0.500
Se2 0.750 0.250 0.500